No. 1
DFT (PBE-GGA) results for a relaxed structure of Na2In5IrPd2.

Calculated values
E: -76.03 eV per cell

Lattice parameters (Å, degrees): 3.118 11.818 11.818 90.00 90.00 90.00
Fractional positions:
Na (0.000, 0.678, 0.178)
Na (0.000, 0.322, 0.822)
Na (0.000, 0.178, 0.322)
Na (0.000, 0.822, 0.678)
In (0.500, 0.189, 0.057)
In (0.500, 0.811, 0.943)
In (0.500, 0.057, 0.811)
In (0.500, 0.689, 0.443)
In (0.500, 0.943, 0.189)
In (0.500, 0.311, 0.557)
In (0.500, 0.557, 0.689)
In (0.500, 0.443, 0.311)
In (0.500, 0.500, 0.000)
In (0.500, 0.000, 0.500)
Ir (0.000, 0.000, 0.000)
Ir (0.000, 0.500, 0.500)
Pd (0.000, 0.136, 0.636)
Pd (0.000, 0.864, 0.364)
Pd (0.000, 0.636, 0.864)
Pd (0.000, 0.364, 0.136)


No. 2
DFT (PBE-GGA) results for a relaxed structure of NaPmInIr.

Calculated values
E: -18.63 eV per cell

Lattice parameters (Å, degrees): 4.950 4.950 4.950 60.00 60.00 60.00
Fractional positions:
Na (0.500, 0.500, 0.500)
Ir (0.000, 0.000, 0.000)
In (0.250, 0.250, 0.250)
Pm (0.750, 0.750, 0.750)


No. 3
DFT (PBE-GGA) results for a relaxed structure of Na2In6IrPt.

Calculated values
E: -35.46 eV per cell

Lattice parameters (Å, degrees): 7.381 7.381 7.381 60.00 60.00 90.00
Fractional positions:
Na (0.250, 0.750, 0.500)
Na (0.750, 0.250, 0.500)
In (0.251, 0.749, 0.000)
In (0.749, 0.749, 0.000)
In (0.251, 0.251, 0.498)
In (0.749, 0.251, 0.000)
In (0.251, 0.251, 0.000)
In (0.749, 0.749, 0.502)
Ir (0.500, 0.500, 0.000)
Pt (0.000, 0.000, 0.000)


Volume? In order: 436; 86; 284 Å³ per cell.
DOS(E_F)? In order: 8.77; 4.35; 3.57 states/eV/cell.
Total magnetization? In order: 0.00; 0.00; 0.00 μB per formula unit.